Compound: HfAsN2
Source: the Alexandria database
Functional: SCAN
Structure: single point on PBEsol structure

Properties
- ρ: 7.777 g/cm³
- Total energy: -25.668 eV/atom
- Volume: 60 Å³/f.u.

The structure in CIF format:
```
data_HfAsN2
_cell_length_a 4.925
_cell_length_b 4.925
_cell_length_c 9.908
_cell_angle_alpha 90.00
_cell_angle_beta 90.00
_cell_angle_gamma 90.00
_space_group_name_H-M_alt 'I -4 2 d'
_space_group_IT_number 122
_space_group_name_Hall 'I -4 2bw'
loop_
_atom_site_label
_atom_site_fract_x
_atom_site_fract_y
_atom_site_fract_z
Hf1 0.000 0.000 0.000
As1 0.000 0.000 0.500
N1 0.224 0.250 0.125
```